(1)
# Ba2NaCoC

A relaxed structure of Ba2NaCoC (PBEsol, the Alexandria database).

Lattice parameters (Å, degrees): 3.7105 5.9857 5.9857 90.00 90.00 90.00
Last column: nearest neighbours and their distance in Å.
Fractional coordinates of all 5 atoms:
Ba (0.0000, 0.0000, 0.5000)  2 Co 2.99
Ba (0.0000, 0.5000, 0.0000)  2 Co 2.99
Co (0.0000, 0.0000, 0.0000)  2 C 1.86
C (0.5000, 0.0000, 0.0000)  2 Co 1.86
Na (0.5000, 0.5000, 0.5000)  8 Ba 3.52, 2 Na 3.71

calculated total energy	-4.157	eV/atom
energy of formation	0.46	eV/atom

***

(2)
# TiSi7H42C14Cl2O2

A relaxed structure of TiSi7H42C14Cl2O2 (PBEsol, the Alexandria database).

Lattice parameters (Å, degrees): 9.3706 9.9670 17.9443 90.00 90.00 101.31
Last column: nearest neighbours and their distance in Å.
Fractional coordinates of all 136 atoms:
C (0.8975, 0.4031, 0.7163)  3 H 1.10-1.11
C (0.4937, 0.3058, 0.0169)  3 H 1.10-1.11
C (0.2092, 0.9220, 0.5544)  3 H 1.10
C (0.5063, 0.6942, 0.5169)  3 H 1.10-1.11
C (0.6240, 0.6081, 0.0017)  3 H 1.10
C (0.4202, 0.2157, 0.7116)  3 H 1.10-1.11
C (0.3760, 0.3919, 0.5017)  3 H 1.10
C (0.5798, 0.7843, 0.2116)  3 H 1.10-1.11
C (0.1806, 0.5608, 0.0515)  3 H 1.10
C (0.2003, 0.0032, 0.9232)  3 H 1.10
C (0.9567, 0.7817, 0.8618)  3 H 1.10
C (0.0433, 0.2183, 0.3618)  3 H 1.10
C (0.7908, 0.0780, 0.0544)  3 H 1.10
C (0.7997, 0.9968, 0.4232)  3 H 1.10
C (0.9859, 0.7625, 0.0951)  3 H 1.10-1.11
C (0.0141, 0.2375, 0.5951)  3 H 1.10-1.11
C (0.8194, 0.4392, 0.5515)  3 H 1.10
C (0.5699, 0.0533, 0.8243)  3 H 1.10
C (0.5922, 0.0004, 0.6582)  3 H 1.10-1.11
C (0.7667, 0.3962, 0.9186)  3 H 1.10
C (0.2333, 0.6038, 0.4186)  3 H 1.10
C (0.4078, 0.9996, 0.1582)  3 H 1.10-1.11
C (0.9985, 0.9232, 0.3006)  3 H 1.10
C (0.4301, 0.9467, 0.3243)  3 H 1.10
C (0.0665, 0.2017, 0.1377)  3 H 1.10
C (0.1025, 0.5969, 0.2163)  3 H 1.10-1.11
C (0.9335, 0.7983, 0.6377)  3 H 1.10
C (0.0015, 0.0768, 0.8006)  3 H 1.10
H (0.8861, 0.7416, 0.8145)  1 C 1.10
H (0.8067, 0.3151, 0.7244)  1 C 1.11
H (0.1273, 0.5336, 0.4124)  1 C 1.10
H (0.5576, 0.6812, 0.5711)  1 C 1.10
H (0.5190, 0.2969, 0.7083)  1 C 1.11
H (0.0110, 0.6996, 0.8816)  1 C 1.10
H (0.2210, 0.4676, 0.0665)  1 C 1.10
H (0.1038, 0.2189, 0.6310)  1 C 1.10
H (0.4282, 0.3689, 0.5539)  1 C 1.10
H (0.7860, 0.2906, 0.9184)  1 C 1.10
H (0.6733, 0.1285, 0.8205)  1 C 1.10
H (0.0868, 0.0983, 0.1490)  1 C 1.10
H (0.8458, 0.1139, 0.0016)  1 C 1.10
H (0.8727, 0.4664, 0.9124)  1 C 1.10
H (0.1139, 0.2584, 0.3145)  1 C 1.10
H (0.8568, 0.4963, 0.7309)  1 C 1.10
H (0.8751, 0.9837, 0.4688)  1 C 1.10
H (0.4424, 0.3188, 0.0711)  1 C 1.10
H (0.1182, 0.2351, 0.0838)  1 C 1.10
H (0.5956, 0.9528, 0.8378)  1 C 1.10
H (0.7009, 0.4092, 0.8690)  1 C 1.10
H (0.8962, 0.7811, 0.1310)  1 C 1.10
H (0.4938, 0.9160, 0.3707)  1 C 1.10
H (0.7790, 0.5324, 0.5665)  1 C 1.10
H (0.5062, 0.0840, 0.8707)  1 C 1.10
H (0.2742, 0.6475, 0.0535)  1 C 1.10
H (0.8783, 0.7290, 0.6812)  1 C 1.10
H (0.0806, 0.8463, 0.1043)  1 C 1.11
H (0.3270, 0.9300, 0.5463)  1 C 1.10
H (0.1933, 0.6849, 0.2244)  1 C 1.11
H (0.3625, 0.2135, 0.6579)  1 C 1.10
H (0.7258, 0.3525, 0.5535)  1 C 1.10
H (0.3497, 0.2456, 0.7553)  1 C 1.10
H (0.0737, 0.8972, 0.3432)  1 C 1.10
H (0.5471, 0.6124, 0.9555)  1 C 1.10
H (0.5085, 0.1991, 0.0131)  1 C 1.10
H (0.9371, 0.0443, 0.7500)  1 C 1.10
H (0.1217, 0.2710, 0.1812)  1 C 1.10
H (0.9837, 0.3920, 0.7564)  1 C 1.10
H (0.0163, 0.6080, 0.2564)  1 C 1.10
H (0.4810, 0.7031, 0.2083)  1 C 1.11
H (0.7275, 0.8969, 0.4135)  1 C 1.10
H (0.2673, 0.9306, 0.9426)  1 C 1.10
H (0.3823, 0.1017, 0.1673)  1 C 1.10
H (0.1884, 0.0254, 0.5656)  1 C 1.10
H (0.5718, 0.6311, 0.0539)  1 C 1.10
H (0.9194, 0.8288, 0.2876)  1 C 1.10
H (0.7212, 0.6885, 0.9924)  1 C 1.10
H (0.1147, 0.1946, 0.4069)  1 C 1.10
H (0.9263, 0.1028, 0.8432)  1 C 1.10
H (0.4171, 0.3228, 0.9727)  1 C 1.11
H (0.4529, 0.3876, 0.4555)  1 C 1.10
H (0.3040, 0.9243, 0.1587)  1 C 1.11
H (0.8572, 0.4504, 0.4933)  1 C 1.10
H (0.0476, 0.2328, 0.5365)  1 C 1.10
H (0.8116, 0.9746, 0.0656)  1 C 1.10
H (0.0629, 0.9557, 0.2500)  1 C 1.10
H (0.1542, 0.8861, 0.5016)  1 C 1.10
H (0.5829, 0.6772, 0.4727)  1 C 1.11
H (0.9132, 0.9017, 0.6490)  1 C 1.10
H (0.2788, 0.3115, 0.4924)  1 C 1.10
H (0.2991, 0.5908, 0.3690)  1 C 1.10
H (0.6960, 0.0757, 0.6587)  1 C 1.11
H (0.9524, 0.7672, 0.0365)  1 C 1.10
H (0.6375, 0.7865, 0.1579)  1 C 1.10
H (0.1432, 0.5037, 0.2309)  1 C 1.10
H (0.9890, 0.3004, 0.3816)  1 C 1.10
H (0.7327, 0.0694, 0.4426)  1 C 1.10
H (0.1428, 0.5496, 0.9933)  1 C 1.10
H (0.4554, 0.9979, 0.1021)  1 C 1.10
H (0.9194, 0.1537, 0.6043)  1 C 1.11
H (0.8818, 0.7649, 0.5838)  1 C 1.10
H (0.6177, 0.8983, 0.6673)  1 C 1.10
H (0.2725, 0.1031, 0.9135)  1 C 1.10
H (0.8853, 0.8054, 0.9069)  1 C 1.10
H (0.2140, 0.7094, 0.4184)  1 C 1.10
H (0.5446, 0.0021, 0.6021)  1 C 1.10
H (0.0806, 0.1712, 0.7876)  1 C 1.10
H (0.4044, 0.0472, 0.3378)  1 C 1.10
H (0.6503, 0.7544, 0.2553)  1 C 1.10
H (0.4915, 0.8009, 0.5131)  1 C 1.10
H (0.3267, 0.8715, 0.3205)  1 C 1.10
H (0.6730, 0.0700, 0.0463)  1 C 1.10
H (0.1249, 0.0163, 0.9688)  1 C 1.10
Ti (0.6440, 0.4188, 0.2708)  2 O 1.76
Ti (0.3560, 0.5812, 0.7708)  2 O 1.76
Si (0.5304, 0.9540, 0.2332)  3 C 1.88
Si (0.8206, 0.4229, 0.1099)  1 O 1.71
Si (0.1794, 0.5771, 0.6099)  1 O 1.71
Si (0.4696, 0.0460, 0.7332)  3 C 1.88
Si (0.8646, 0.1985, 0.1328)  2 C 1.89
Si (0.1354, 0.8015, 0.6328)  2 C 1.89
Si (0.7454, 0.1212, 0.2470)  1 O 1.71
Si (0.0941, 0.9392, 0.8370)  3 C 1.88
Si (0.6694, 0.4326, 0.0055)  3 C 1.88
Si (0.9646, 0.4075, 0.6175)  3 C 1.88-1.89
Si (0.0354, 0.5925, 0.1175)  3 C 1.88-1.89
Si (0.2546, 0.8788, 0.7470)  1 O 1.71
Si (0.9059, 0.0608, 0.3370)  3 C 1.88
Si (0.3306, 0.5674, 0.5055)  3 C 1.88
Cl (0.7464, 0.5673, 0.3585)  1 Ti 2.24
Cl (0.2536, 0.4327, 0.8585)  1 Ti 2.24
Cl (0.4019, 0.3955, 0.2651)  1 Ti 2.24
Cl (0.5981, 0.6045, 0.7651)  1 Ti 2.24
O (0.6867, 0.2569, 0.2866)  1 Si 1.71, 1 Ti 1.76
O (0.3133, 0.7431, 0.7866)  1 Si 1.71, 1 Ti 1.76
O (0.7211, 0.4659, 0.1831)  1 Si 1.71, 1 Ti 1.76
O (0.2789, 0.5341, 0.6831)  1 Si 1.71, 1 Ti 1.76

calculated total energy	-5.286	eV/atom

***

(3)
# LaCu2Au2

A relaxed structure of LaCu2Au2 (PBEsol, the Alexandria database).

Lattice parameters (Å, degrees): 4.0089 4.0089 6.5916 107.70 107.70 90.00
Last column: nearest neighbours and their distance in Å.
Fractional coordinates of all 5 atoms:
Cu (0.2500, 0.7500, 0.5000)  4 Au 2.57, 4 Cu 2.83
Cu (0.7500, 0.2500, 0.5000)  4 Au 2.57, 4 Cu 2.83
Au (0.6155, 0.6155, 0.2310)  4 Cu 2.57, 1 Au 2.75
Au (0.3845, 0.3845, 0.7690)  4 Cu 2.57, 1 Au 2.75
La (0.0000, 0.0000, 0.0000)  8 Au 3.15

calculated total energy	-4.720	eV/atom
energy of formation	-0.35	eV/atom

***

(4)
# Cu2AgSb

A relaxed structure of Cu2AgSb (PBEsol, the Alexandria database).

Lattice parameters (Å, degrees): 3.2349 3.5573 5.4966 90.00 90.00 90.00
Last column: nearest neighbours and their distance in Å.
Fractional coordinates of all 4 atoms:
Ag (0.5000, 0.5000, 0.5000)  8 Cu 2.74, 2 Sb 2.75
Cu (0.0000, 0.0000, 0.2606)  2 Cu 2.63-2.87, 4 Ag 2.74, 4 Sb 2.80
Cu (0.0000, 0.0000, 0.7394)  2 Cu 2.63-2.87, 4 Ag 2.74, 4 Sb 2.80
Sb (0.5000, 0.5000, 0.0000)  2 Ag 2.75, 8 Cu 2.80

ΔE_f (raw)	0.144	eV per atom
calculated total energy	-3.991	eV/atom

***

> What is the calculated total energy in the second record?

-5.286 eV/atom